[1]
3
Lattice="-1.642 1.642 6.265 1.642 -1.642 6.265 1.642 1.642 -6.265" Properties=species:S:1:pos:R:3 comment="HoLuFe PBE-GGA relaxed" e_form_mev_per_atom=-4 spacegroup="I4mm, No. 107" pbc="T T T"
Ho 0.000 0.000 0.000
Lu 0.000 0.000 9.360
Fe 0.000 0.000 4.648

[2]
5
Lattice="5.928 0.000 0.000 0.000 5.928 0.000 0.000 0.000 5.245" Properties=species:S:1:pos:R:3 comment="KSbMoI2 PBE-GGA relaxed" spacegroup="P4/mmm, No. 123" formation_energy_uncorrected_ev_per_atom=-0.08 pbc="T T T"
K 0.000 0.000 0.000
Sb 2.964 2.964 0.000
Mo 2.964 2.964 2.622
I 0.000 2.964 2.622
I 2.964 0.000 2.622